Ca2CoPt: optimized geometry, PBEsol.

Computed properties:
formation enthalpy at 0 K = 0.2089 eV/atom
total energy = -4.533 eV per atom
total moment = 0.3003 μB/atom
N(E_F) = 1.12 states/eV/atom

Cell: 7.888 7.888 7.888 Å, 27.28 27.28 27.28°
Fractional coordinates of all 4 atoms:
Ca 0.246 0.246 0.246
Ca 0.754 0.754 0.754
Co 0.000 0.000 0.000
Pt 0.500 0.500 0.500